P:
Zr2CoRh at its PBEsol-relaxed geometry. Source: Alexandria, functional meta-GGA SCAN.

```
Zr2CoRh
1.0
4.2222 0.0000 0.0000
0.0000 3.2638 0.0000
0.0000 0.0000 9.6783
Zr Co Rh
4 2 2
direct
0.0000 0.0000 0.0000
0.0000 0.5000 0.5000
0.5000 0.0000 0.2832
0.5000 0.5000 0.7832
0.0000 0.0000 0.7344
0.0000 0.5000 0.2344
0.5000 0.0000 0.5572
0.5000 0.5000 0.0572
```

Results
Its crystal system is orthorhombic. The space group is Amm2, No. 38. The value obtained for the mass density is 8.6 g cm⁻³.


Q:
Zr2CoRh at its PBEsol-relaxed geometry. Source: Alexandria, functional meta-GGA SCAN.

```
Zr2CoRh
1.0
3.1949 0.0000 0.0000
0.0000 3.1949 0.0000
0.0000 0.0000 6.3588
Zr Co Rh
2 1 1
direct
0.0000 0.0000 0.2403
0.0000 0.0000 0.7597
0.5000 0.5000 0.0000
0.5000 0.5000 0.5000
```

Results
Its crystal system is tetragonal. The space group is P4/mmm, No. 123. The value obtained for the mass density is 8.8 g cm⁻³.


Q comes first in stability; the runner-up is 6.5 kJ/mol of atoms higher.


P:
Ba2SrCa at its PBEsol-relaxed geometry. Source: Alexandria, functional meta-GGA SCAN.

```
Ba2SrCa
1.0
8.1020 0.0000 0.0000
0.0000 13.1226 0.0000
-1.2716 0.0000 3.8546
Ba Sr Ca
4 2 2
direct
0.2500 0.2500 0.0000
0.2500 0.7500 0.0000
0.7500 0.2500 0.0000
0.7500 0.7500 0.0000
0.0000 0.0000 0.5000
0.5000 0.5000 0.5000
0.0000 0.5000 0.5000
0.5000 0.0000 0.5000
```

Results
Its crystal system is monoclinic. The space group is C2/m, No. 12. The value obtained for the mass density is 3.3 g cm⁻³.


Q:
Ba2SrCa at its PBEsol-relaxed geometry. Source: Alexandria, functional meta-GGA SCAN.

```
Ba2SrCa
1.0
9.3703 0.0000 0.0000
0.0000 9.3703 0.0000
0.0000 0.0000 9.3703
Ba Sr Ca
8 4 4
direct
0.0000 0.0000 0.0000
0.0000 0.5000 0.5000
0.2500 0.2500 0.2500
0.2500 0.7500 0.7500
0.5000 0.0000 0.5000
0.5000 0.5000 0.0000
0.7500 0.2500 0.7500
0.7500 0.7500 0.2500
0.2500 0.2500 0.7500
0.2500 0.7500 0.2500
0.7500 0.2500 0.2500
0.7500 0.7500 0.7500
0.0000 0.0000 0.5000
0.0000 0.5000 0.0000
0.5000 0.0000 0.0000
0.5000 0.5000 0.5000
```

Results
Its crystal system is cubic. The space group is F-43m, No. 216. The value obtained for the mass density is 3.2 g cm⁻³.


Q comes first in stability; the runner-up is 0.6 kJ/mol of atoms higher.


P:
TaCrW2 at its PBEsol-relaxed geometry. Source: Alexandria, functional meta-GGA SCAN.

```
TaCrW2
1.0
6.2247 0.0000 0.0000
0.0000 6.2247 0.0000
0.0000 0.0000 6.2247
Ta Cr W
4 4 8
direct
0.0000 0.0000 0.0000
0.0000 0.5000 0.5000
0.5000 0.0000 0.5000
0.5000 0.5000 0.0000
0.2500 0.2500 0.2500
0.2500 0.7500 0.7500
0.7500 0.2500 0.7500
0.7500 0.7500 0.2500
0.0000 0.0000 0.5000
0.0000 0.5000 0.0000
0.2500 0.2500 0.7500
0.2500 0.7500 0.2500
0.5000 0.0000 0.0000
0.5000 0.5000 0.5000
0.7500 0.2500 0.2500
0.7500 0.7500 0.7500
```

Results
Its crystal system is cubic. The space group is F-43m, No. 216. The value obtained for the mass density is 16.5 g cm⁻³.


Q:
TaCrW2 at its PBEsol-relaxed geometry. Source: Alexandria, functional meta-GGA SCAN.

```
TaCrW2
1.0
3.1079 0.0000 0.0000
0.0000 3.1079 0.0000
0.0000 0.0000 6.2301
Ta Cr W
1 1 2
direct
0.0000 0.0000 0.0000
0.5000 0.5000 0.7552
0.0000 0.0000 0.5194
0.5000 0.5000 0.2663
```

Results
Its crystal system is tetragonal. The space group is P4mm, No. 99. The value obtained for the mass density is 16.6 g cm⁻³.


Q comes first in stability; the runner-up is 0.6 kJ/mol of atoms higher.


P:
Tl2OsCl at its PBEsol-relaxed geometry. Source: Alexandria, functional meta-GGA SCAN.

```
Tl2OsCl
1.0
4.9030 0.0000 0.0000
0.0000 5.6271 0.0000
0.0000 0.0000 3.0075
Tl Os Cl
2 1 1
direct
0.0000 0.0000 0.0000
0.5000 0.5000 0.4154
0.0000 0.5000 0.9266
0.5000 0.0000 0.4984
```

Results
Its crystal system is orthorhombic. The space group is Pmm2, No. 25. The value obtained for the mass density is 12.7 g cm⁻³.


Q:
Tl2OsCl at its PBEsol-relaxed geometry. Source: Alexandria, functional meta-GGA SCAN.

```
Tl2OsCl
1.0
3.0679 0.0000 0.0000
0.0000 3.0679 0.0000
0.0000 0.0000 9.0018
Tl Os Cl
2 1 1
direct
0.0000 0.0000 0.0000
0.5000 0.5000 0.3068
0.5000 0.5000 0.7775
0.0000 0.0000 0.6181
```

Results
Its crystal system is tetragonal. The space group is P4mm, No. 99. The value obtained for the mass density is 12.4 g cm⁻³.


P comes first in stability; the runner-up is 30.7 kJ/mol of atoms higher.


P:
Sr2LiPd2 at its PBEsol-relaxed geometry. Source: Alexandria, functional meta-GGA SCAN.

```
Sr2LiPd2
1.0
3.8779 0.0000 0.0000
0.0000 3.8779 0.0000
0.0000 0.0000 19.1582
Sr Li Pd
4 2 4
direct
0.0000 0.0000 0.1318
0.0000 0.0000 0.8682
0.5000 0.5000 0.3682
0.5000 0.5000 0.6318
0.0000 0.0000 0.5000
0.5000 0.5000 0.0000
0.0000 0.5000 0.2500
0.0000 0.5000 0.7500
0.5000 0.0000 0.2500
0.5000 0.0000 0.7500
```

Results
Its crystal system is tetragonal. The space group is I4/mmm, No. 139. The value obtained for the mass density is 4.6 g cm⁻³.


Q:
Sr2LiPd2 at its PBEsol-relaxed geometry. Source: Alexandria, functional meta-GGA SCAN.

```
Sr2LiPd2
1.0
7.7168 0.0000 0.0000
0.0000 7.7168 0.0000
0.0000 0.0000 4.2457
Sr Li Pd
4 2 4
direct
0.1710 0.3290 0.0000
0.3290 0.8290 0.0000
0.6710 0.1710 0.0000
0.8290 0.6710 0.0000
0.0000 0.0000 0.5000
0.5000 0.5000 0.5000
0.1247 0.6247 0.5000
0.3753 0.1247 0.5000
0.6247 0.8753 0.5000
0.8753 0.3753 0.5000
```

Results
Its crystal system is tetragonal. The space group is P4/mbm, No. 127. The value obtained for the mass density is 5.2 g cm⁻³.


Q comes first in stability; the runner-up is 26.8 kJ/mol of atoms higher.


P:
MgTaIr2 at its PBEsol-relaxed geometry. Source: Alexandria, functional meta-GGA SCAN.

```
MgTaIr2
1.0
2.7676 0.0000 0.0000
0.0000 2.7676 0.0000
0.0000 0.0000 8.2940
Mg Ta Ir
1 1 2
direct
0.0000 0.0000 0.0000
0.5000 0.5000 0.2976
0.0000 0.0000 0.5425
0.5000 0.5000 0.7664
```

Results
Its crystal system is tetragonal. The space group is P4mm, No. 99. The value obtained for the mass density is 15.4 g cm⁻³.


Q:
MgTaIr2 at its PBEsol-relaxed geometry. Source: Alexandria, functional meta-GGA SCAN.

```
MgTaIr2
1.0
2.8431 0.0000 0.0000
-1.4215 2.4622 0.0000
0.0000 0.0000 26.6060
Mg Ta Ir
3 3 6
direct
0.0000 0.0000 0.0000
0.3333 0.6667 0.6667
0.6667 0.3333 0.3333
0.0000 0.0000 0.5000
0.3333 0.6667 0.1667
0.6667 0.3333 0.8333
0.0000 0.0000 0.2487
0.0000 0.0000 0.7513
0.3333 0.6667 0.4179
0.3333 0.6667 0.9154
0.6667 0.3333 0.0846
0.6667 0.3333 0.5821
```

Results
Its crystal system is trigonal. The space group is R-3m, No. 166. The value obtained for the mass density is 15.8 g cm⁻³.


Q comes first in stability; the runner-up is 25.8 kJ/mol of atoms higher.


P:
KLi2Co at its PBEsol-relaxed geometry. Source: Alexandria, functional meta-GGA SCAN.

```
KLi2Co
1.0
2.7070 0.0000 0.0000
0.0000 4.3267 0.0000
-1.3649 0.0000 7.4750
K Li Co
1 2 1
direct
0.0000 0.0000 0.0000
0.6933 0.5000 0.3902
0.7811 0.0000 0.5863
0.3344 0.5000 0.6826
```

Results
Its crystal system is monoclinic. The space group is Pm, No. 6. The value obtained for the mass density is 2.1 g cm⁻³.


Q:
KLi2Co at its PBEsol-relaxed geometry. Source: Alexandria, functional meta-GGA SCAN.

```
KLi2Co
1.0
3.2841 0.0000 0.0000
0.0000 3.2841 0.0000
0.0000 0.0000 8.2483
K Li Co
1 2 1
direct
0.0000 0.0000 0.0000
0.0000 0.0000 0.5958
0.5000 0.5000 0.3953
0.5000 0.5000 0.7089
```

Results
Its crystal system is tetragonal. The space group is P4mm, No. 99. The value obtained for the mass density is 2.1 g cm⁻³.


P comes first in stability; the runner-up is 8.6 kJ/mol of atoms higher.


P:
AgPt2Au at its PBEsol-relaxed geometry. Source: Alexandria, functional meta-GGA SCAN.

```
AgPt2Au
1.0
2.7833 0.0000 0.0000
0.0000 2.7833 0.0000
0.0000 0.0000 8.1358
Ag Pt Au
1 2 1
direct
0.0000 0.0000 0.0000
0.0000 0.0000 0.5121
0.5000 0.5000 0.7491
0.5000 0.5000 0.2591
```

Results
Its crystal system is tetragonal. The space group is P4mm, No. 99. The value obtained for the mass density is 18.3 g cm⁻³.


Q:
AgPt2Au at its PBEsol-relaxed geometry. Source: Alexandria, functional meta-GGA SCAN.

```
AgPt2Au
1.0
5.5027 0.0000 0.0000
0.0000 9.6116 0.0000
-1.3513 0.0000 2.3977
Ag Pt Au
2 4 2
direct
0.0000 0.0000 0.0000
0.5000 0.5000 0.0000
0.2500 0.2500 0.5000
0.2500 0.7500 0.5000
0.7500 0.2500 0.5000
0.7500 0.7500 0.5000
0.0000 0.5000 0.0000
0.5000 0.0000 0.0000
```

Results
Its crystal system is monoclinic. The space group is C2/m, No. 12. The value obtained for the mass density is 18.2 g cm⁻³.


Q comes first in stability; the runner-up is 2.3 kJ/mol of atoms higher.